# KNaF3, optimized geometry, DFT PBE-GGA
data_KNaF3
_chemical_formula_sum 'K2 Na2 F6'
_cell_length_a 8.8373
_cell_length_b 8.8373
_cell_length_c 4.8665
_cell_angle_alpha 90.00
_cell_angle_beta 90.00
_cell_angle_gamma 151.21
_space_group_name_H-M_alt 'P 1'
_space_group_IT_number 1
_space_group_name_Hall 'P 1'
loop_
_atom_site_label
_atom_site_type_symbol
_atom_site_fract_x
_atom_site_fract_y
_atom_site_fract_z
_atom_site_occupancy
K1 K 0.1731 0.8269 0.7500 1
K2 K 0.8269 0.1731 0.2500 1
Na1 Na 0.4347 0.5653 0.7500 1
Na2 Na 0.5653 0.4347 0.2500 1
F1 F 0.0627 0.4215 0.7500 1
F2 F 0.4215 0.0627 0.2500 1
F3 F 0.4366 0.5634 0.2500 1
F4 F 0.5634 0.4366 0.7500 1
F5 F 0.5785 0.9373 0.7500 1
F6 F 0.9373 0.5785 0.2500 1
# E_form (uncorrected), meV/atom: -2145
# M_tot, μB/f.u.: 0.87
# Symmetry: Cmcm

---

# Dy3PaTl4S8, optimized geometry, DFT PBE-GGA
data_Dy3PaTl4S8
_chemical_formula_sum 'Dy3 Pa1 Tl4 S8'
_cell_length_a 8.0391
_cell_length_b 8.0391
_cell_length_c 9.0064
_cell_angle_alpha 116.46
_cell_angle_beta 116.46
_cell_angle_gamma 60.02
_space_group_name_H-M_alt 'P 1'
_space_group_IT_number 1
_space_group_name_Hall 'P 1'
loop_
_atom_site_label
_atom_site_type_symbol
_atom_site_fract_x
_atom_site_fract_y
_atom_site_fract_z
_atom_site_occupancy
Dy1 Dy 0.0000 0.0000 0.0000 1
Dy2 Dy 0.0000 0.5000 0.0000 1
Dy3 Dy 0.5000 0.0000 0.0000 1
Pa1 Pa 0.5000 0.5000 0.0000 1
Tl1 Tl 0.0000 0.0000 0.5000 1
Tl2 Tl 0.0000 0.5000 0.5000 1
Tl3 Tl 0.5000 0.0000 0.5000 1
Tl4 Tl 0.5000 0.5000 0.5000 1
S1 S 0.2302 0.2302 0.1908 1
S2 S 0.2332 0.7295 0.1925 1
S3 S 0.2705 0.2705 0.8076 1
S4 S 0.2705 0.7668 0.8075 1
S5 S 0.7295 0.2332 0.1925 1
S6 S 0.7295 0.7295 0.1924 1
S7 S 0.7668 0.2705 0.8075 1
S8 S 0.7698 0.7698 0.8092 1
# E_form (uncorrected), meV/atom: -1374
# M_tot, μB/f.u.: 1.87
# Symmetry: C2/m

---

# Nb4V4Co, optimized geometry, DFT PBE-GGA
data_Nb4V4Co
_chemical_formula_sum 'Nb4 V4 Co1'
_cell_length_a 7.1761
_cell_length_b 7.1741
_cell_length_c 4.7619
_cell_angle_alpha 70.64
_cell_angle_beta 70.60
_cell_angle_gamma 38.76
_space_group_name_H-M_alt 'P 1'
_space_group_IT_number 1
_space_group_name_Hall 'P 1'
loop_
_atom_site_label
_atom_site_type_symbol
_atom_site_fract_x
_atom_site_fract_y
_atom_site_fract_z
_atom_site_occupancy
Nb1 Nb 0.1286 0.6091 0.8714 1
Nb2 Nb 0.2400 0.7600 0.2400 1
Nb3 Nb 0.6091 0.1286 0.3909 1
Nb4 Nb 0.7600 0.2400 0.7600 1
V1 V 0.4100 0.8163 0.5900 1
V2 V 0.5527 0.9585 0.0415 1
V3 V 0.8163 0.4100 0.1837 1
V4 V 0.9585 0.5527 0.4473 1
Co1 Co 0.1847 0.1847 0.8153 1
# M_tot, μB/f.u.: 0.00
# Symmetry: Fmm2
# Formation energy from the elements, eV/atom: 0.191

---

The highest M_tot belongs to which entry?
Dy3PaTl4S8

---

What is the formula in the first record?
KNaF3

---

Which value of M_tot does entry 1 give?
0.87 μB/f.u.

---

The highest M_tot belongs to which entry?
Dy3PaTl4S8